# 1
Computed, not measured: a relaxed HoBeRh crystal at the PBE-GGA level of DFT.

abc: 3.918 3.918 3.937
angles: 90.00 90.00 120.00
Fractional positions:
Ho 0.000 0.000 0.000
Be 0.333 0.667 0.500
Rh 0.667 0.333 0.500

Properties
offset from the most stable computed form	5	kJ/mol of formula units

---

# 2
Computed, not measured: a relaxed Ho4BeRh3 crystal at the PBE-GGA level of DFT.

abc: 3.892 4.048 10.682
angles: 90.00 90.00 90.00
Fractional positions:
Ho 0.000 0.000 0.000
Ho 0.000 0.500 0.276
Ho 0.500 0.000 0.491
Ho 0.500 0.500 0.779
Be 0.000 0.000 0.691
Rh 0.000 0.500 0.583
Rh 0.500 0.000 0.228
Rh 0.500 0.500 0.044

---

# 3
Computed, not measured: a relaxed Ho2BeRh2 crystal at the PBE-GGA level of DFT.

abc: 5.756 5.756 7.011
angles: 100.99 100.99 55.48
Fractional positions:
Ho 0.015 0.278 0.148
Ho 0.278 0.015 0.648
Ho 0.722 0.985 0.352
Ho 0.985 0.722 0.852
Be 0.396 0.604 0.250
Be 0.604 0.396 0.750
Rh 0.246 0.500 0.490
Rh 0.500 0.246 0.990
Rh 0.500 0.754 0.010
Rh 0.754 0.500 0.510

Properties
offset from the most stable computed form	0	kJ/mol of formula units

---

Energy of formation from the pure elements (eV/f.u.)
-1.845, -5.420, -3.714